# ErTmAsSe, optimized geometry, DFT PBE
# Calculated total energy   -5.8853 eV per atom
# Formation energy (no corrections)   -1.59 eV per atom
data_ErTmAsSe
_symmetry_space_group_name_H-M 'R 3 m'
_symmetry_Int_Tables_number 160
_symmetry_space_group_name_Hall 'R 3 -2"'
_cell_length_a 3.9828
_cell_length_b 3.9828
_cell_length_c 20.9520
_cell_angle_alpha 90.00
_cell_angle_beta 90.00
_cell_angle_gamma 120.00
loop_
_atom_site_label
_atom_site_fract_x
_atom_site_fract_y
_atom_site_fract_z
Er1 0.0000 0.0000 0.0000
Tm1 0.0000 0.0000 0.1804
As1 0.0000 0.0000 0.5880
Se1 0.0000 0.0000 0.7586